Record 1
Here is SrTaBe at its PBEsol-relaxed geometry from Alexandria. Energies are from meta-GGA SCAN.

Results
Volume, Å³ per cell: 117
Magnetic moment, μB/f.u.: 0.0
Energy of formation, eV/atom: 0.693
Energy, eV/atom: -30.377
Density of states at the Fermi level, states/eV per cell: 3.290

a = 2.979 Å, b = 2.979 Å, c = 13.197 Å
α = 90.00°, β = 90.00°, γ = 90.00°
Space group I4mm (No. 107)
Asymmetric unit:
Sr (0.000, 0.000, 0.000)
Ta (0.000, 0.000, 0.286)
Be (0.000, 0.000, 0.678)

=====

Record 2
Here is SrLiRe at its PBEsol-relaxed geometry from Alexandria. Energies are from meta-GGA SCAN.

Results
Volume, Å³ per cell: 316
Magnetic moment, μB/f.u.: 2.5
Energy of formation, eV/atom: 1.835
Energy, eV/atom: -30.086
Polymorph energy (0 for the lowest one), meV/atom: 914.8
Density of states at the Fermi level, states/eV per cell: 4.402

a = 6.809 Å, b = 6.809 Å, c = 6.809 Å
α = 90.00°, β = 90.00°, γ = 90.00°
Space group F-43m (No. 216)
Asymmetric unit:
Sr (0.000, 0.000, 0.000)
Li (0.250, 0.250, 0.750)
Re (0.250, 0.250, 0.250)

=====

Record 3
Here is Y2TiO5 at its PBEsol-relaxed geometry from Alexandria. Energies are from meta-GGA SCAN.

Results
Volume, Å³ per cell: 422
Formation energy without anion corrections, eV/atom: -3.78
Magnetic moment, μB/f.u.: 0.0
Energy, eV/atom: -16.644
Density of states at the Fermi level, states/eV per cell: 0.000

a = 10.301 Å, b = 3.663 Å, c = 11.182 Å
α = 90.00°, β = 90.00°, γ = 90.00°
Space group Pnma (No. 62)
Asymmetric unit:
Y (0.116, 0.250, 0.224)
Y (0.135, 0.250, 0.557)
Ti (0.173, 0.250, 0.881)
O (0.005, 0.250, 0.846)
O (0.006, 0.750, 0.605)
O (0.225, 0.250, 0.044)
O (0.236, 0.750, 0.884)
O (0.244, 0.750, 0.230)